#a
PBE ThTiPd2, optimized geometry; calculated density = 9.71 Mg/m³
1.0
4.4881 0.0000 0.0000
2.2441 3.8868 0.0000
2.2441 1.2956 4.8285
Pd Th Ti
2 1 1
direct
0.7883 0.7883 0.6351 Pd
0.2117 0.2117 0.3649 Pd
0.0000 0.0000 0.0000 Th
0.5000 0.5000 0.5000 Ti

---

#b
PBE ThTiPd2, optimized geometry; calculated density = 10.10 Mg/m³
1.0
-0.2873 -0.7782 3.5528
3.9973 -2.4857 -0.2212
2.4678 3.8752 1.0484
Pd Th Ti
2 1 1
direct
0.0000 0.0000 0.5000 Pd
0.0000 0.5000 0.0000 Pd
0.5000 0.0000 0.0000 Th
0.5000 0.5000 0.5000 Ti

---

#c
PBE ThTiPd2, optimized geometry; calculated density = 10.42 Mg/m³
1.0
-1.2443 0.7786 2.9406
-1.5548 -2.8936 0.1082
5.7819 -2.9857 3.2370
Pd Th Ti
2 1 1
direct
0.0000 0.0000 0.8038 Pd
0.0000 0.0000 0.1962 Pd
0.5000 0.5000 0.5000 Th
0.5000 0.5000 0.0000 Ti

---

On energetic grounds, #a is preferred over the next structure by 5.9 kJ/mol of atoms.

---

#a
PBE ThTiPd, optimized geometry; calculated density = 9.50 Mg/m³
1.0
-1.4295 3.0900 0.7478
-0.1581 -2.5971 2.3050
11.1392 3.9039 5.1626
Pd Th Ti
2 2 2
direct
0.6108 0.2216 0.0000 Pd
0.2776 0.5552 0.5000 Pd
0.6122 0.2244 0.3221 Th
0.6122 0.2244 0.6779 Th
0.2769 0.5538 0.8710 Ti
0.2769 0.5538 0.1290 Ti

---

#b
PBE ThTiPd, optimized geometry; calculated density = 9.25 Mg/m³
1.0
-2.9127 2.8469 0.8132
-2.9621 -3.1919 0.5649
2.3576 1.4368 3.4145
Pd Th Ti
1 1 1
direct
0.1665 0.3333 0.6667 Pd
0.6667 0.6667 0.3333 Th
0.1667 0.0000 0.0000 Ti

---

On energetic grounds, #b is preferred over the next structure by 15.5 kJ/mol of atoms.